Entry 1:
Here is a crystal of Sr2CdIr relaxed with PBEsol from Alexandria via LeMat-Bulk. Energies are from meta-GGA SCAN.

Summary:
**Total moment**: 0.00 Bohr magnetons per cell
**ΔH_f (0 K)**: -246 meV per atom

abc: 4.444 4.522 6.081
angles: 90.00 111.43 90.00
Sites, in units of the cell vectors:
Cd  0.689  0.000  0.379
Sr  0.985  0.000  0.970
Ir  0.560  0.500  0.119
Sr  0.267  0.500  0.534



Entry 2:
Here is a crystal of AgRhBr2 relaxed with PBEsol from Alexandria via LeMat-Bulk. Energies are from meta-GGA SCAN.

Summary:
**Total moment**: 0.00 Bohr magnetons per cell
**Energy**: -25.792 eV/atom

abc: 3.170 4.120 6.602
angles: 108.18 103.89 90.00
Sites, in units of the cell vectors:
Ag  0.188  0.688  0.376
Rh  0.490  0.490  0.979
Br  0.803  0.303  0.607
Br  0.019  0.019  0.038



Entry 3:
Here is a crystal of Tc5W relaxed with PBEsol from Alexandria via LeMat-Bulk. Energies are from meta-GGA SCAN.

Summary:
**Total moment**: 0.00 Bohr magnetons per cell
**ΔH_f (0 K)**: 101 meV per atom

abc: 2.735 4.409 7.236
angles: 90.00 100.90 90.00
Sites, in units of the cell vectors:
W  0.889  0.500  0.778
Tc  0.002  0.000  0.003
Tc  0.331  0.000  0.663
Tc  0.558  0.500  0.116
Tc  0.220  0.500  0.439
Tc  0.667  0.000  0.334



Entry 4:
Here is a crystal of LiHg2Au relaxed with PBEsol from Alexandria via LeMat-Bulk. Energies are from meta-GGA SCAN.

Summary:
**Total moment**: 0.00 Bohr magnetons per cell
**ΔH_f (0 K)**: -257 meV per atom

abc: 3.017 3.017 8.102
angles: 90.00 90.00 90.00
Sites, in units of the cell vectors:
Au  0.500  0.500  0.715
Li  0.000  0.000  0.518
Hg  0.500  0.500  0.286
Hg  0.000  0.000  0.981



Entry 5:
Here is a crystal of Si2HgRh relaxed with PBEsol from Alexandria via LeMat-Bulk. Energies are from meta-GGA SCAN.

Summary:
**Total moment**: 0.00 Bohr magnetons per cell
**Energy**: -30.083 eV/atom

abc: 3.526 4.205 4.205
angles: 90.00 90.00 90.00
Sites, in units of the cell vectors:
Rh  0.500  0.000  0.000
Si  0.000  0.000  0.500
Hg  0.500  0.500  0.500
Si  0.000  0.500  0.000



Entry 6:
Here is a crystal of Li3Pr3Te2O12 relaxed with PBEsol from Alexandria via LeMat-Bulk. Energies are from meta-GGA SCAN.

Summary:
**Total moment**: 0.00 Bohr magnetons per cell
**Energy**: -16.855 eV/atom

abc: 10.923 10.923 10.923
angles: 109.47 109.47 109.47
Sites, in units of the cell vectors:
Li  0.750  0.125  0.375
O  0.807  0.829  0.922
Li  0.250  0.375  0.125
Te  0.000  0.500  0.000
Pr  0.875  0.625  0.250
O  0.171  0.578  0.693
O  0.384  0.478  0.807
O  0.693  0.078  0.171
O  0.093  0.422  0.116
O  0.884  0.078  0.907
Pr  0.750  0.875  0.125
Pr  0.750  0.375  0.625
Pr  0.875  0.250  0.125
O  0.022  0.907  0.829
Te  0.500  0.000  0.000
Li  0.125  0.250  0.375
O  0.078  0.671  0.193
O  0.578  0.193  0.671
O  0.116  0.193  0.522
Te  0.000  0.000  0.000
Li  0.375  0.750  0.125
O  0.978  0.884  0.307
Te  0.500  0.000  0.500
O  0.693  0.616  0.022
O  0.978  0.093  0.171
Li  0.625  0.375  0.250
O  0.907  0.578  0.884
O  0.407  0.522  0.329
O  0.193  0.022  0.616
Li  0.375  0.625  0.750
O  0.907  0.329  0.522
Li  0.250  0.875  0.625
Pr  0.125  0.375  0.750
O  0.593  0.116  0.422
Li  0.875  0.750  0.625
O  0.829  0.422  0.307
Pr  0.375  0.125  0.250
O  0.616  0.093  0.922
O  0.407  0.884  0.578
O  0.829  0.407  0.022
Te  0.500  0.500  0.500
Pr  0.125  0.750  0.875
Li  0.875  0.125  0.750
O  0.807  0.978  0.384
O  0.616  0.522  0.193
O  0.884  0.807  0.478
O  0.593  0.478  0.671
Pr  0.250  0.125  0.875
Te  0.000  0.000  0.500
Te  0.500  0.500  0.000
O  0.922  0.329  0.807
O  0.116  0.922  0.093
Te  0.000  0.500  0.500
O  0.522  0.829  0.907
O  0.329  0.022  0.407
Pr  0.625  0.875  0.750
O  0.093  0.671  0.478
O  0.422  0.807  0.329
O  0.078  0.407  0.384
O  0.578  0.384  0.407
Pr  0.625  0.750  0.375
O  0.307  0.922  0.829
O  0.922  0.593  0.616
Pr  0.250  0.625  0.375
O  0.193  0.171  0.078
O  0.671  0.978  0.593
O  0.022  0.116  0.693
Pr  0.375  0.250  0.625
O  0.478  0.171  0.093
Li  0.125  0.875  0.250
O  0.671  0.693  0.578
O  0.422  0.616  0.593
O  0.329  0.307  0.422
O  0.478  0.307  0.884
Li  0.625  0.250  0.875
O  0.307  0.384  0.978
O  0.522  0.693  0.116
O  0.384  0.907  0.078
Li  0.750  0.625  0.875
O  0.171  0.593  0.978



Entry 7:
Here is a crystal of MnZnSi relaxed with PBEsol from Alexandria via LeMat-Bulk. Energies are from meta-GGA SCAN.

Summary:
**Total moment**: 1.96 Bohr magnetons per cell
**Energy**: -13.823 eV/atom

abc: 2.693 3.950 3.950
angles: 120.00 90.00 90.00
Site moments in Bohr magnetons follow the coordinates.
Sites, in units of the cell vectors:
Zn  0.378  0.333  0.667  -0.06
Si  0.710  0.667  0.333  -0.10
Mn  0.912  0.000  0.000  2.16



Entry 8:
Here is a crystal of TiPtCl3 relaxed with PBEsol from Alexandria via LeMat-Bulk. Energies are from meta-GGA SCAN.

Summary:
**Total moment**: 0.79 Bohr magnetons per cell
**Energy**: -22.299 eV/atom

abc: 4.650 4.650 4.650
angles: 90.00 90.00 90.00
Site moments in Bohr magnetons follow the coordinates.
Sites, in units of the cell vectors:
Cl  0.000  0.000  0.500  0.04
Pt  0.500  0.500  0.500  0.36
Ti  0.000  0.000  0.000  -1.05
Cl  0.500  0.000  0.000  0.04
Cl  0.000  0.500  0.000  0.04